Arrangement a

NbIn2Pd: optimized geometry, PBE.

POSCAR file:
```
NbIn2Pd
1.0
1.529 0.883 10.209
-1.529 0.883 10.209
0.000 -1.765 10.209
Nb In Pd
1 2 1
direct
0.000 0.000 0.000
0.094 0.094 0.094
0.906 0.906 0.906
0.500 0.500 0.500
```

Computed properties:
Its density of states at the Fermi level is 1.965 states/eV per cell.


Arrangement b

NbIn2Pd: optimized geometry, PBE.

POSCAR file:
```
NbIn2Pd
1.0
4.380 0.000 0.000
0.000 4.380 0.000
0.000 0.000 3.956
Nb In Pd
1 2 1
direct
0.000 0.000 0.000
0.000 0.500 0.500
0.500 0.000 0.500
0.500 0.500 0.000
```

Computed properties:
Its density of states at the Fermi level is 3.693 states/eV per cell.


Arrangement c

NbIn2Pd: optimized geometry, PBE.

POSCAR file:
```
NbIn2Pd
1.0
3.082 0.000 0.000
0.000 3.082 0.000
0.000 0.000 7.916
Nb In Pd
1 2 1
direct
0.000 0.000 0.000
0.500 0.500 0.268
0.500 0.500 0.732
0.000 0.000 0.500
```

Computed properties:
Its density of states at the Fermi level is 2.079 states/eV per cell.


Which structure loses on stability? arrangement a does.


Arrangement a

Nb3InPd: optimized geometry, PBE.

POSCAR file:
```
Nb3InPd
1.0
4.991 0.000 0.000
0.000 4.991 0.000
0.000 0.000 4.991
Nb In Pd
3 1 1
direct
0.000 0.000 0.500
0.000 0.500 0.000
0.500 0.000 0.000
0.000 0.000 0.000
0.500 0.500 0.500
```

Computed properties:
Its density of states at the Fermi level is 8.939 states/eV per cell.


Arrangement b

Nb3InPd: optimized geometry, PBE.

POSCAR file:
```
Nb3InPd
1.0
4.869 0.000 0.000
0.000 4.869 0.000
0.000 0.000 4.869
Nb In Pd
3 1 1
direct
0.000 0.000 0.500
0.000 0.500 0.000
0.500 0.000 0.000
0.500 0.500 0.500
0.000 0.000 0.000
```

Computed properties:
Its density of states at the Fermi level is 5.239 states/eV per cell.


Which structure loses on stability? arrangement a does.


Arrangement a

NbIn3Pd: optimized geometry, PBE.

POSCAR file:
```
NbIn3Pd
1.0
5.053 0.000 0.000
0.000 5.053 0.000
0.000 0.000 5.053
Nb In Pd
1 3 1
direct
0.000 0.000 0.000
0.000 0.500 0.500
0.500 0.000 0.500
0.500 0.500 0.000
0.500 0.500 0.500
```

Computed properties:
Its density of states at the Fermi level is 4.438 states/eV per cell.


Arrangement b

NbIn3Pd: optimized geometry, PBE.

POSCAR file:
```
NbIn3Pd
1.0
5.343 0.000 0.000
0.000 5.343 0.000
0.000 0.000 5.343
Nb In Pd
1 3 1
direct
0.000 0.000 0.000
0.000 0.000 0.500
0.000 0.500 0.000
0.500 0.000 0.000
0.500 0.500 0.500
```

Computed properties:
Its density of states at the Fermi level is 4.263 states/eV per cell.


Which structure loses on stability? arrangement b does.


Arrangement a

Nb3InPt: optimized geometry, PBE.

POSCAR file:
```
Nb3InPt
1.0
4.941 0.000 0.000
0.000 4.941 0.000
0.000 0.000 4.941
Nb In Pt
3 1 1
direct
0.000 0.000 0.500
0.000 0.500 0.000
0.500 0.000 0.000
0.000 0.000 0.000
0.500 0.500 0.500
```

Computed properties:
Its density of states at the Fermi level is 7.525 states/eV per cell.


Arrangement b

Nb3InPt: optimized geometry, PBE.

POSCAR file:
```
Nb3InPt
1.0
4.917 0.000 0.000
0.000 4.917 0.000
0.000 0.000 4.917
Nb In Pt
3 1 1
direct
0.000 0.000 0.500
0.000 0.500 0.000
0.500 0.000 0.000
0.500 0.500 0.500
0.000 0.000 0.000
```

Computed properties:
Its density of states at the Fermi level is 3.745 states/eV per cell.


Which structure loses on stability? arrangement a does.